U2Hg3PdSe6 | PBE-GGA | relaxed

The structure in CIF format:
```
data_U2Hg3PdSe6
_chemical_formula_sum 'U2 Hg3 Pd1 Se6'
_space_group_name_H-M_alt 'P 1'
_space_group_IT_number 1
_space_group_name_Hall 'P 1'
_cell_length_a 6.6442
_cell_length_b 6.6442
_cell_length_c 9.6081
_cell_angle_alpha 97.55
_cell_angle_beta 97.55
_cell_angle_gamma 115.55
loop_
_atom_site_label
_atom_site_type_symbol
_atom_site_fract_x
_atom_site_fract_y
_atom_site_fract_z
U1 U 0.1701 0.8299 0.0000
U2 U 0.8299 0.1701 0.0000
Hg1 Hg 0.0000 0.0000 0.5000
Hg2 Hg 0.3086 0.6914 0.5000
Hg3 Hg 0.6914 0.3086 0.5000
Pd1 Pd 0.5000 0.5000 0.0000
Se1 Se 0.1315 0.4406 0.8374
Se2 Se 0.1728 0.1728 0.1894
Se3 Se 0.4406 0.1315 0.8374
Se4 Se 0.5594 0.8685 0.1626
Se5 Se 0.8272 0.8272 0.8106
Se6 Se 0.8685 0.5594 0.1626
```

Output
The calculation puts the total magnetization at 2.0 μB per formula unit. Its total energy is -56.57 eV/f.u. Its space group is C2/m.